Entry 1
Density functional theory data (SCAN) for a PBEsol-optimized structure of Li2CrNi.

Calculated values
**Total magnetization**: 3.67 μB/f.u.

a = 3.4309 Å, b = 3.4309 Å, c = 8.5441 Å
α = 90.00°, β = 90.00°, γ = 90.00°
Space group I4/mmm (No. 139)
Symmetry-distinct sites (fractional):
Li 0.0000 0.5000 0.2500
Cr 0.0000 0.0000 0.0000
Ni 0.0000 0.0000 0.5000

=====

Entry 2
Density functional theory data (SCAN) for a PBEsol-optimized structure of Li2CrNi.

Calculated values
**Total magnetization**: 4.00 μB/f.u.

a = 3.4531 Å, b = 3.4531 Å, c = 4.2919 Å
α = 90.00°, β = 90.00°, γ = 90.00°
Space group P4/mmm (No. 123)
Symmetry-distinct sites (fractional):
Li 0.0000 0.5000 0.0000
Cr 0.0000 0.0000 0.5000
Ni 0.5000 0.5000 0.5000

=====

entry 1 comes first in stability; the runner-up is 10 meV per atom higher.